This record from Alexandria via LeMat-Bulk describes ZnCrInO4 after structural relaxation. The functional is PBE with a Hubbard U.

abc: 5.570 5.570 6.353
angles: 90.00 90.00 116.33
Positions (direct):
Zn 0.168 0.832 0.750
Zn 0.832 0.168 0.250
Cr 0.148 0.852 0.250
Cr 0.852 0.148 0.750
In 0.500 0.500 0.000
In 0.500 0.500 0.500
O 0.231 0.232 0.250
O 0.232 0.231 0.750
O 0.274 0.726 0.016
O 0.274 0.726 0.484
O 0.726 0.274 0.516
O 0.726 0.274 0.984
O 0.768 0.769 0.250
O 0.769 0.768 0.750

## Properties
total energy	-5.915	eV per atom
volume	12.62	Å³ per atom
SG	Cmcm (63)
magnetization	6.00	μB/cell